Record 1
This record from Alexandria via LeMat-Bulk describes a geometry-optimized GdCo4Ir structure. The functional is PBE.

Summary:
* formation enthalpy at 0 K: -0.31 eV per formula unit
* M_tot: 14.0 μB/cell

Cell: 4.9146 4.9146 4.9146 Å, 60.00 60.00 60.00°
Closest atoms and distances in Å follow each position.
Atoms (fractional coordinates):
Gd 0.2500 0.2500 0.2500  12 Co 2.88, 4 Ir 3.01
Ir 0.0000 0.0000 0.0000  12 Co 2.88, 4 Gd 3.01
Co 0.6255 0.6255 0.1236  6 Co 2.45-2.47
Co 0.6255 0.1236 0.6255  6 Co 2.45-2.47
Co 0.6255 0.6255 0.6255  6 Co 2.45-2.47
Co 0.1236 0.6255 0.6255  6 Co 2.45-2.47


Record 2
This record from Alexandria via LeMat-Bulk describes a geometry-optimized Gd2CoIr structure. The functional is PBE.

Summary:
* formation enthalpy at 0 K: -1.64 eV per formula unit
* M_tot: 14.5 μB/cell

Cell: 3.4687 4.8151 4.8151 Å, 90.00 90.00 90.00°
Closest atoms and distances in Å follow each position.
Atoms (fractional coordinates):
Gd 0.0000 0.0000 0.5000  4 Co 2.97, 4 Ir 2.97
Gd 0.0000 0.5000 0.0000  4 Co 2.97, 4 Ir 2.97
Ir 0.5000 0.0000 0.0000  8 Gd 2.97
Co 0.5000 0.5000 0.5000  8 Gd 2.97


Record 3
This record from Alexandria via LeMat-Bulk describes a geometry-optimized GdCoIr structure. The functional is PBE.

Summary:
* formation enthalpy at 0 K: -1.23 eV per formula unit
* M_tot: 8.2 μB/cell

Cell: 4.0453 4.0749 4.0749 Å, 120.00 90.00 90.00°
Closest atoms and distances in Å follow each position.
Atoms (fractional coordinates):
Gd 0.6666 0.6667 0.3333  6 Co 3.10, 6 Ir 3.10
Ir 0.1667 0.3333 0.6667  3 Co 2.35
Co 0.1667 0.0000 0.0000  3 Ir 2.35